Si3IrPt, PBEsol geometry, DFT meta-GGA SCAN; raw formation energy = 0.50 eV/atom; crystal system = cubic; D(E_F) = 2.54 states/eV/f.u.
1.0
4.536 0.000 0.000
0.000 4.536 0.000
0.000 0.000 4.536
Si Ir Pt
3 1 1
Direct
0.000 0.000 0.500
0.000 0.500 0.000
0.500 0.000 0.000
0.000 0.000 0.000
0.500 0.500 0.500

TbB12, PBEsol geometry, DFT meta-GGA SCAN; DFT formation energy = -29 kJ/mol of atoms; crystal system = cubic; D(E_F) = 0.44 states/eV/f.u.
1.0
0.000 3.733 3.733
3.733 0.000 3.733
3.733 3.733 0.000
Tb B
1 12
Direct
0.000 0.000 0.000
0.163 0.500 0.500
0.163 0.500 0.837
0.163 0.837 0.500
0.500 0.163 0.500
0.500 0.163 0.837
0.500 0.500 0.163
0.500 0.500 0.837
0.500 0.837 0.163
0.500 0.837 0.500
0.837 0.163 0.500
0.837 0.500 0.163
0.837 0.500 0.500

Sc2HPd, PBEsol geometry, DFT meta-GGA SCAN; crystal system = cubic; D(E_F) = 2.96 states/eV/f.u.
1.0
0.000 3.160 3.160
3.160 0.000 3.160
3.160 3.160 0.000
Sc H Pd
2 1 1
Direct
0.250 0.250 0.250
0.750 0.750 0.750
0.000 0.000 0.000
0.500 0.500 0.500

Zn2OsRu, PBEsol geometry, DFT meta-GGA SCAN; DFT formation energy = 15 kJ/mol of atoms; crystal system = monoclinic; D(E_F) = 3.06 states/eV/f.u.; relative energy among the computed polymorphs = 0.10 eV/f.u.
1.0
4.315 -1.357 0.000
4.315 1.357 0.000
-0.863 0.000 4.621
Zn Os Ru
2 1 1
Direct
0.249 0.249 0.247
0.751 0.751 0.753
0.000 0.000 0.500
0.500 0.500 0.000

| no. | DFT total energy (eV per cell) |
| --- | --- |
| 1 | -168.8 |
| 2 | -139.8 |
| 3 | -66.0 |
| 4 | -133.1 |